# Re2Ag, optimized geometry, DFT PBE-GGA
data_Re2Ag
_chemical_formula_sum 'Re4 Ag2'
_space_group_name_H-M_alt 'P 63/m m c'
_space_group_IT_number 194
_space_group_name_Hall '-P 6c 2c'
_cell_length_a 4.5600
_cell_length_b 4.5600
_cell_length_c 5.4957
_cell_angle_alpha 90.00
_cell_angle_beta 90.00
_cell_angle_gamma 120.00
loop_
_atom_site_label
_atom_site_type_symbol
_atom_site_fract_x
_atom_site_fract_y
_atom_site_fract_z
Re1 Re 0.3333 0.6667 0.0336
Ag1 Ag 0.0000 0.0000 0.2500
# * spin magnetization: 0.00 Bohr magnetons per cell
# * volume: 99.0 Å³/cell
# * distance to the lowest polymorph of the same formula: 335 meV per atom
# * calculated total energy: -51.629 eV per cell



# Tl2NiTe, optimized geometry, DFT PBE-GGA
data_Tl2NiTe
_chemical_formula_sum 'Tl2 Ni1 Te1'
_space_group_name_H-M_alt 'P m m 2'
_space_group_IT_number 25
_cell_length_a 3.542
_cell_length_b 3.602
_cell_length_c 8.370
_cell_angle_alpha 90.00
_cell_angle_beta 90.00
_cell_angle_gamma 90.00
loop_
_space_group_symop_operation_xyz
'x,y,z'
'-x,-y,z'
'-x,y,z'
'x,-y,z'
loop_
_atom_site_label
_atom_site_type_symbol
_atom_site_fract_x
_atom_site_fract_y
_atom_site_fract_z
Tl1 Tl 0.000 0.000 0.000
Tl2 Tl 0.500 0.500 0.323
Ni1 Ni 0.500 0.500 0.694
Te1 Te 0.000 0.000 0.619
# * formation energy from raw total energies: 0.06 eV/atom
# * spin magnetization: 0.00 Bohr magnetons per cell
# * volume: 106.8 Å³/cell
# * distance to the lowest polymorph of the same formula: 141 meV per atom
# * calculated total energy: -13.425 eV per cell



# Ce2MnTe, optimized geometry, DFT PBE-GGA
data_Ce2MnTe
_chemical_formula_sum 'Ce6 Mn3 Te3'
_space_group_name_H-M_alt 'R -3 m'
_space_group_IT_number 166
_space_group_name_Hall '-R 3 2"'
_cell_length_a 4.0314
_cell_length_b 4.0314
_cell_length_c 21.8551
_cell_angle_alpha 90.00
_cell_angle_beta 90.00
_cell_angle_gamma 120.00
loop_
_atom_site_label
_atom_site_type_symbol
_atom_site_fract_x
_atom_site_fract_y
_atom_site_fract_z
Ce1 Ce 0.0000 0.0000 0.2326
Mn1 Mn 0.0000 0.0000 0.5000
Te1 Te 0.0000 0.0000 0.0000
# * formation energy from raw total energies: -0.36 eV/atom
# * spin magnetization: 0.03 Bohr magnetons per cell
# * volume: 307.6 Å³/cell
# * calculated total energy: -76.838 eV per cell



# MgTcAg4, optimized geometry, DFT PBE-GGA
data_MgTcAg4
_chemical_formula_sum 'Mg4 Tc4 Ag16'
_space_group_name_H-M_alt 'F -4 3 m'
_space_group_IT_number 216
_space_group_name_Hall 'F -4 2 3'
_cell_length_a 7.688
_cell_length_b 7.688
_cell_length_c 7.688
_cell_angle_alpha 90.00
_cell_angle_beta 90.00
_cell_angle_gamma 90.00
loop_
_atom_site_label
_atom_site_type_symbol
_atom_site_fract_x
_atom_site_fract_y
_atom_site_fract_z
Mg1 Mg 0.000 0.000 0.000
Tc1 Tc 0.250 0.250 0.750
Ag1 Ag 0.125 0.125 0.375
# * spin magnetization: 11.98 Bohr magnetons per cell
# * volume: 454.4 Å³/cell
# * calculated total energy: -82.681 eV per cell



# Ba2NaZn3Au12, optimized geometry, DFT PBE-GGA
data_Ba2NaZn3Au12
_chemical_formula_sum 'Ba6 Na3 Zn9 Au36'
_space_group_name_H-M_alt 'R -3 m'
_space_group_IT_number 166
_space_group_name_Hall '-R 3 2"'
_cell_length_a 8.8399
_cell_length_b 8.8399
_cell_length_c 20.3474
_cell_angle_alpha 90.00
_cell_angle_beta 90.00
_cell_angle_gamma 120.00
loop_
_atom_site_label
_atom_site_type_symbol
_atom_site_fract_x
_atom_site_fract_y
_atom_site_fract_z
Ba1 Ba 0.0000 0.0000 0.1135
Na1 Na 0.0000 0.0000 0.5000
Zn1 Zn 0.0000 0.5000 0.0000
Au1 Au 0.0066 0.5033 0.8744
Au2 Au 0.0174 0.5087 0.3601
# * spin magnetization: 0.00 Bohr magnetons per cell
# * volume: 1377.0 Å³/cell
# * calculated total energy: -150.465 eV per cell



# LaCr2Pd, optimized geometry, DFT PBE-GGA
data_LaCr2Pd
_chemical_formula_sum 'La4 Cr8 Pd4'
_space_group_name_H-M_alt 'F m -3 m'
_space_group_IT_number 225
_space_group_name_Hall '-F 4 2 3'
_cell_length_a 6.400
_cell_length_b 6.400
_cell_length_c 6.400
_cell_angle_alpha 90.00
_cell_angle_beta 90.00
_cell_angle_gamma 90.00
loop_
_atom_site_label
_atom_site_type_symbol
_atom_site_fract_x
_atom_site_fract_y
_atom_site_fract_z
La1 La 0.000 0.000 0.000
Cr1 Cr 0.250 0.250 0.250
Pd1 Pd 0.000 0.000 0.500
# * spin magnetization: 0.00 Bohr magnetons per cell
# * volume: 262.1 Å³/cell
# * distance to the lowest polymorph of the same formula: 142 meV per atom
# * calculated total energy: -106.547 eV per cell



# ThGa7Ni5, optimized geometry, DFT PBE-GGA
data_ThGa7Ni5
_chemical_formula_sum 'Th2 Ga14 Ni10'
_space_group_name_H-M_alt 'I m m 2'
_space_group_IT_number 44
_cell_length_a 5.104
_cell_length_b 8.753
_cell_length_c 8.574
_cell_angle_alpha 90.00
_cell_angle_beta 90.00
_cell_angle_gamma 90.00
loop_
_space_group_symop_operation_xyz
'x,y,z'
'-x,-y,z'
'-x,y,z'
'x,-y,z'
'x+1/2,y+1/2,z+1/2'
'-x+1/2,-y+1/2,z+1/2'
'-x+1/2,y+1/2,z+1/2'
'x+1/2,-y+1/2,z+1/2'
loop_
_atom_site_label
_atom_site_type_symbol
_atom_site_fract_x
_atom_site_fract_y
_atom_site_fract_z
Th1 Th 0.000 0.000 0.000
Ga1 Ga 0.000 0.000 0.342
Ga2 Ga 0.000 0.000 0.643
Ga3 Ga 0.000 0.291 0.505
Ga4 Ga 0.000 0.349 0.975
Ga5 Ga 0.000 0.500 0.258
Ni1 Ni 0.000 0.500 0.715
Ni2 Ni 0.247 0.259 0.247
# * spin magnetization: 0.00 Bohr magnetons per cell
# * volume: 383.0 Å³/cell
# * calculated total energy: -126.217 eV per cell



# NaScPt2, optimized geometry, DFT PBE-GGA
data_NaScPt2
_chemical_formula_sum 'Na1 Sc1 Pt2'
_space_group_name_H-M_alt 'P 4/m m m'
_space_group_IT_number 123
_space_group_name_Hall '-P 4 2'
_cell_length_a 4.307
_cell_length_b 4.307
_cell_length_c 3.725
_cell_angle_alpha 90.00
_cell_angle_beta 90.00
_cell_angle_gamma 90.00
loop_
_atom_site_label
_atom_site_type_symbol
_atom_site_fract_x
_atom_site_fract_y
_atom_site_fract_z
Na1 Na 0.000 0.000 0.000
Sc1 Sc 0.500 0.500 0.000
Pt1 Pt 0.000 0.500 0.500
# * spin magnetization: 0.00 Bohr magnetons per cell
# * volume: 69.1 Å³/cell
# * calculated total energy: -22.381 eV per cell